The following is a PBE-GGA calculation of ZrInSe4 after structural relaxation, from Alexandria via LeMat-Bulk.

Unit cell a=5.754 b=5.754 c=5.754 alpha=60.00 beta=60.00 gamma=60.00
Site moments in Bohr magnetons follow the coordinates.
Fractional coordinates of all 6 atoms:
Se  0.376  0.872  0.376  -0.01
Se  0.872  0.376  0.376  -0.01
Se  0.376  0.376  0.376  -0.01
Se  0.376  0.376  0.872  -0.01
In  0.000  0.000  0.000  0.02
Zr  0.750  0.750  0.750  0.35

Output
Energy (eV per atom): -3.87
Total magnetization (μB per cell): 0.54
Fermi-level density of states (states/eV/f.u.): 6.1
Symmetry: F-43m (216)
Formation energy without anion corrections (eV per atom): 0.331
Energy above the most stable polymorph in this dataset (meV/atom): 1012